The following is a DFT calculation (PBE) of MnGaHPt2 after structural relaxation.

a = 3.972 Å, b = 3.972 Å, c = 3.972 Å
α = 90.00°, β = 90.00°, γ = 90.00°
Each line ends with the local moment (μB).
Element x y z (fractional)
H  0.000  0.000  0.000  -0.01
Mn  0.000  0.000  0.500  3.41
Ga  0.500  0.500  0.500  -0.09
Pt  0.000  0.500  0.000  0.10
Pt  0.500  0.000  0.000  0.10

Summary:
The total magnetization comes out at 0.71 μB per atom. For the total DFT energy (no corrections), the calculation gives -5.76 eV per atom. The density of states at the Fermi level is 2.955 states/eV/f.u. Its space-group type is P4/mmm, No. 123.



The following is a DFT calculation (PBE) of Mn2GaReH after structural relaxation.

a = 3.754 Å, b = 3.754 Å, c = 3.955 Å
α = 90.00°, β = 90.00°, γ = 90.00°
Each line ends with the local moment (μB).
Element x y z (fractional)
Re  0.000  0.000  0.500  -0.12
Mn  0.000  0.500  0.000  2.35
Mn  0.500  0.000  0.000  2.35
Ga  0.500  0.500  0.500  -0.06
H  0.000  0.000  0.000  -0.01

Summary:
The total magnetization comes out at 0.93 μB per atom. For the total DFT energy (no corrections), the calculation gives -7.38 eV per atom. The density of states at the Fermi level is 2.858 states/eV/f.u. Its space-group type is P4/mmm, No. 123.



The following is a DFT calculation (PBE) of MnGaHRh2 after structural relaxation.

a = 4.024 Å, b = 4.024 Å, c = 3.636 Å
α = 90.00°, β = 90.00°, γ = 90.00°
Each line ends with the local moment (μB).
Element x y z (fractional)
H  0.000  0.000  0.000  -0.01
Mn  0.000  0.000  0.500  3.56
Rh  0.000  0.500  0.000  0.37
Rh  0.500  0.000  0.000  0.37
Ga  0.500  0.500  0.500  -0.04

Summary:
The total magnetization comes out at 0.88 μB per atom. For the total DFT energy (no corrections), the calculation gives -6.39 eV per atom. The density of states at the Fermi level is 3.189 states/eV/f.u. Its space-group type is P4/mmm, No. 123.



The following is a DFT calculation (PBE) of MnGa2HRu after structural relaxation.

a = 4.256 Å, b = 3.310 Å, c = 4.256 Å
α = 90.00°, β = 90.00°, γ = 90.00°
Each line ends with the local moment (μB).
Element x y z (fractional)
Ru  0.500  0.500  0.500  -0.09
Mn  0.000  0.500  0.000  2.57
Ga  0.000  0.000  0.500  -0.04
Ga  0.500  0.000  0.000  -0.03
H  0.000  0.000  0.000  -0.02

Summary:
The total magnetization comes out at 0.49 μB per atom. For the total DFT energy (no corrections), the calculation gives -5.59 eV per atom. The density of states at the Fermi level is 3.423 states/eV/f.u. Its space-group type is P4/mmm, No. 123.